An optimized crystal structure of TiHgF2. Source: Alexandria via LeMat-Bulk, functional PBE-GGA.

## Properties
Spin magnetization ... 2.00 μB/f.u.
Uncorrected formation energy ... -1.176 eV/atom

abc: 6.254 6.254 6.254
angles: 90.00 90.00 90.00
Space group Fm-3m (No. 225)
One atom of each set of equivalent atoms:
Ti  0.000  0.000  0.000 [4 per cell]
Hg  0.000  0.000  0.500 [4 per cell]
F  0.250  0.250  0.250 [8 per cell]

An optimized crystal structure of CeDyOs. Source: Alexandria via LeMat-Bulk, functional PBE-GGA.

## Properties
Spin magnetization ... 0.31 μB/f.u.
ΔH_f (0 K) ... -0.18 eV per formula unit

abc: 6.656 7.421 7.156
angles: 90.00 113.18 90.00
Space group P2_1/c (No. 14)
One atom of each set of equivalent atoms:
Ce  0.222  0.169  0.037 [4 per cell]
Dy  0.292  0.670  0.940 [4 per cell]
Os  0.440  0.065  0.789 [4 per cell]

An optimized crystal structure of ZnHg2Pd8. Source: Alexandria via LeMat-Bulk, functional PBE-GGA.

## Properties
Spin magnetization ... 0.00 μB/f.u.
ΔH_f (0 K) ... -2.10 eV per formula unit

abc: 14.333 4.098 6.296
angles: 90.00 105.50 90.00
Space group C2/m (No. 12)
One atom of each set of equivalent atoms:
Zn  0.000  0.000  0.000 [2 per cell]
Hg  0.223  0.500  0.648 [4 per cell]
Pd  0.040  0.500  0.728 [4 per cell]
Pd  0.088  0.000  0.444 [4 per cell]
Pd  0.135  0.500  0.173 [4 per cell]
Pd  0.173  0.000  0.907 [4 per cell]